Computed, not measured: an optimized crystal structure of CoReOsSeO at the PBE+U level of DFT.

Calculated values
Electronic total energy ... -37.77 eV per cell
Space group ... Pmm2 (25)
Crystal system ... orthorhombic

Cell: 2.814 3.746 8.151 Å, 90.00 90.00 90.00°
Site moments in Bohr magnetons follow the coordinates.
Positions (direct):
Co 0.000 0.500 0.332  2.02
Re 0.000 0.500 0.667  -0.03
Os 0.500 0.000 0.511  -0.04
Se 0.500 0.000 0.202  0.00
O 0.000 0.500 0.878  0.00